The following is a SCAN calculation of a crystal of LaNiGe3 relaxed with PBEsol, from Alexandria via LeMat-Bulk.

Lattice parameters (Å, degrees): 4.3603 4.3603 9.6077 90.00 90.00 90.00
Closest atoms and distances in Å follow each position.
Space group I4mm (No. 107)
Symmetry-distinct sites (fractional):
La 0.0000 0.0000 0.0000 (multiplicity 2)  12 Ge 3.18-3.30, 5 Ni 3.26-3.45
Ni 0.0000 0.0000 0.6611 (multiplicity 2)  5 Ge 2.32-2.37
Ge 0.0000 0.0000 0.4193 (multiplicity 2)  1 Ni 2.32
Ge 0.0000 0.5000 0.2573 (multiplicity 4)  2 Ni 2.37

## Properties
The value obtained for the spin magnetization is 0.0 μB per formula unit. Its energy of formation is -709 meV/atom. As for the density: 7555 kg/m³. The calculation puts the density of states at the Fermi level at 1.32 states/eV/f.u.

The following is a SCAN calculation of a crystal of La2Ni2Ge relaxed with PBEsol, from Alexandria via LeMat-Bulk.

Lattice parameters (Å, degrees): 7.1383 7.1383 3.9113 90.00 90.00 90.00
Closest atoms and distances in Å follow each position.
Space group P4/mbm (No. 127)
Symmetry-distinct sites (fractional):
La 0.1853 0.3147 0.0000 (multiplicity 4)  6 Ni 2.76-2.97
Ni 0.1218 0.6218 0.5000 (multiplicity 4)  1 Ni 2.46
Ge 0.0000 0.0000 0.5000 (multiplicity 2)  4 Ni 2.84

## Properties
The value obtained for the spin magnetization is 0.0 μB per formula unit. Its energy of formation is -469 meV/atom. As for the density: 7796 kg/m³. The calculation puts the density of states at the Fermi level at 3.17 states/eV/f.u.

The following is a SCAN calculation of a crystal of LaNiGe3 relaxed with PBEsol, from Alexandria via LeMat-Bulk.

Lattice parameters (Å, degrees): 4.6278 4.6278 4.6278 90.00 90.00 90.00
Closest atoms and distances in Å follow each position.
Space group Pm-3m (No. 221)
Symmetry-distinct sites (fractional):
La 0.0000 0.0000 0.0000 (multiplicity 1)  12 Ge 3.27
Ni 0.5000 0.5000 0.5000 (multiplicity 1)  6 Ge 2.31
Ge 0.0000 0.5000 0.5000 (multiplicity 3)  2 Ni 2.31

## Properties
The value obtained for the spin magnetization is 0.0 μB per formula unit. Its energy of formation is -304 meV/atom. As for the density: 6962 kg/m³. The calculation puts the density of states at the Fermi level at 3.22 states/eV/f.u.

The following is a SCAN calculation of a crystal of LaNi2Ge2 relaxed with PBEsol, from Alexandria via LeMat-Bulk.

Lattice parameters (Å, degrees): 4.1519 4.1519 9.7657 90.00 90.00 90.00
Closest atoms and distances in Å follow each position.
Space group I4/mmm (No. 139)
Symmetry-distinct sites (fractional):
La 0.0000 0.0000 0.0000 (multiplicity 2)  8 Ni 3.20, 10 Ge 3.22-3.57
Ni 0.0000 0.5000 0.2500 (multiplicity 4)  4 Ge 2.36
Ge 0.0000 0.0000 0.3652 (multiplicity 4)  4 Ni 2.36, 1 Ge 2.63

## Properties
The value obtained for the spin magnetization is 0.0 μB per formula unit. Its energy of formation is -757 meV/atom. As for the density: 7922 kg/m³. The calculation puts the density of states at the Fermi level at 4.27 states/eV/f.u.

The following is a SCAN calculation of a crystal of La2Ni4Ge3P relaxed with PBEsol, from Alexandria via LeMat-Bulk.

Lattice parameters (Å, degrees): 4.0853 4.0853 9.7561 90.00 90.00 90.00
Closest atoms and distances in Å follow each position.
Space group P4mm (No. 99)
Symmetry-distinct sites (fractional):
La 0.0000 0.0000 0.0000 (multiplicity 1)  8 Ni 3.07-3.20, 4 P 3.16, 4 Ge 3.17
La 0.5000 0.5000 0.4907 (multiplicity 1)  8 Ge 3.16-3.18, 8 Ni 3.23, 1 P 3.51
Ni 0.0000 0.5000 0.2349 (multiplicity 2)  2 P 2.28, 2 Ge 2.38
Ni 0.0000 0.5000 0.7477 (multiplicity 2)  4 Ge 2.35
Ge 0.0000 0.0000 0.3601 (multiplicity 1)  4 Ni 2.38, 1 Ge 2.61
Ge 0.0000 0.0000 0.6278 (multiplicity 1)  4 Ni 2.35, 1 Ge 2.61
Ge 0.5000 0.5000 0.8659 (multiplicity 1)  4 Ni 2.35, 1 P 2.59
P 0.5000 0.5000 0.1312 (multiplicity 1)  4 Ni 2.28

## Properties
The value obtained for the spin magnetization is 0.0 μB per formula unit. Its energy of formation is -832 meV/atom. As for the density: 7766 kg/m³. The calculation puts the density of states at the Fermi level at 6.71 states/eV/f.u.

The following is a SCAN calculation of a crystal of La15Ge9O relaxed with PBEsol, from Alexandria via LeMat-Bulk.

Lattice parameters (Å, degrees): 15.2231 15.2231 6.8506 90.00 90.00 120.00
Closest atoms and distances in Å follow each position.
Space group P6_3mc (No. 186)
Symmetry-distinct sites (fractional):
La 0.0244 0.3459 0.0000 (multiplicity 12)  6 Ge 3.15-3.27, 2 La 3.49
La 0.0807 0.1613 0.2780 (multiplicity 6)  4 Ge 3.10-3.28
La 0.1755 0.5877 0.2644 (multiplicity 6)  1 O 2.61
La 0.2550 0.5099 0.7156 (multiplicity 6)  1 O 2.56
Ge 0.0636 0.5318 0.7289 (multiplicity 6)  7 La 3.09-3.20
Ge 0.1342 0.2685 0.7093 (multiplicity 6)  8 La 3.12-3.28, 1 Ge 3.24
Ge 0.1979 0.3958 0.3049 (multiplicity 6)  8 La 3.10-3.27, 1 Ge 3.24
O 0.3333 0.6667 0.4952 (multiplicity 2)  6 La 2.56-2.61

## Properties
The energy relative to the elements, uncorrected comes out at -25.39 eV per formula unit. The value obtained for the spin magnetization is 0.0 μB per formula unit. As for the density: 6651 kg/m³. The calculation puts the density of states at the Fermi level at 20.63 states/eV/f.u.

The following is a SCAN calculation of a crystal of La2Ge3O9 relaxed with PBEsol, from Alexandria via LeMat-Bulk.

Lattice parameters (Å, degrees): 5.7329 7.7120 8.7836 107.96 108.33 91.52
Closest atoms and distances in Å follow each position.
Space group P-1 (No. 2)
Symmetry-distinct sites (fractional):
La 0.1327 0.2002 0.2170 (multiplicity 2)  5 O 2.31-2.59
La 0.1892 0.8159 0.4154 (multiplicity 2)  6 O 2.36-2.64
Ge 0.2378 0.5138 0.0023 (multiplicity 2)  6 O 1.87-2.01
Ge 0.3378 0.4862 0.6603 (multiplicity 2)  4 O 1.72-1.79
Ge 0.4268 0.0727 0.8528 (multiplicity 2)  5 O 1.80-1.94
O 0.0108 0.6773 0.0470 (multiplicity 2)  2 Ge 1.87-1.88
O 0.1200 0.0101 0.6967 (multiplicity 2)  1 Ge 1.80
O 0.1300 0.5191 0.7782 (multiplicity 2)  2 Ge 1.79-1.88
O 0.1751 0.2860 0.5015 (multiplicity 2)  1 Ge 1.73
O 0.2899 0.9917 0.9992 (multiplicity 2)  2 Ge 1.92-1.94
O 0.3500 0.5364 0.2340 (multiplicity 2)  2 Ge 1.78-1.88
O 0.4030 0.6825 0.6181 (multiplicity 2)  1 Ge 1.72
O 0.4216 0.9705 0.3058 (multiplicity 2)  1 Ge 1.82
O 0.4662 0.3274 0.9536 (multiplicity 2)  3 Ge 1.86-2.01

## Properties
The energy relative to the elements, uncorrected comes out at -36.57 eV per formula unit. The value obtained for the spin magnetization is 0.0 μB per formula unit. As for the density: 6116 kg/m³. The calculation puts the density of states at the Fermi level at 0.00 states/eV/f.u.

The following is a SCAN calculation of a crystal of LaGeP2O relaxed with PBEsol, from Alexandria via LeMat-Bulk.

Lattice parameters (Å, degrees): 5.4908 5.4908 4.1250 90.00 90.00 90.00
Closest atoms and distances in Å follow each position.
Space group P4/mmm (No. 123)
Symmetry-distinct sites (fractional):
La 0.0000 0.0000 0.0000 (multiplicity 1)  2 O 2.06
Ge 0.5000 0.5000 0.5000 (multiplicity 1)  8 P 3.43
P 0.0000 0.5000 0.0000 (multiplicity 2)  2 La 2.75
O 0.0000 0.0000 0.5000 (multiplicity 1)  2 La 2.06

## Properties
The energy relative to the elements, uncorrected comes out at 0.75 eV per formula unit. The value obtained for the spin magnetization is 1.2 μB per formula unit. As for the density: 3865 kg/m³. The calculation puts the density of states at the Fermi level at 3.50 states/eV/f.u.

The following is a SCAN calculation of a crystal of LaGe3Os relaxed with PBEsol, from Alexandria via LeMat-Bulk.

Lattice parameters (Å, degrees): 4.4088 4.4088 10.1234 90.00 90.00 90.00
Closest atoms and distances in Å follow each position.
Space group I4mm (No. 107)
Symmetry-distinct sites (fractional):
La 0.0000 0.0000 0.0000 (multiplicity 2)  12 Ge 3.21-3.44, 5 Os 3.45-3.51
Ge 0.0000 0.0000 0.5748 (multiplicity 2)  1 Os 2.36
Ge 0.0000 0.5000 0.2386 (multiplicity 4)  2 Os 2.44
Os 0.0000 0.0000 0.3413 (multiplicity 2)  5 Ge 2.36-2.44

## Properties
The value obtained for the spin magnetization is 0.0 μB per formula unit. Its energy of formation is -650 meV/atom. As for the density: 9233 kg/m³. The calculation puts the density of states at the Fermi level at 1.72 states/eV/f.u.

The following is a SCAN calculation of a crystal of La15Ge9P relaxed with PBEsol, from Alexandria via LeMat-Bulk.

Lattice parameters (Å, degrees): 15.5431 15.5431 6.7988 90.00 90.00 120.00
Closest atoms and distances in Å follow each position.
Space group P6_3mc (No. 186)
Symmetry-distinct sites (fractional):
La 0.0192 0.3405 0.0000 (multiplicity 12)  6 Ge 3.15-3.32, 2 La 3.44
La 0.0820 0.1640 0.2723 (multiplicity 6)  4 Ge 3.08-3.32
La 0.1612 0.5806 0.2525 (multiplicity 6)  1 P 2.82, 1 Ge 3.12
La 0.2480 0.4960 0.7278 (multiplicity 6)  1 P 2.81, 2 Ge 3.11
Ge 0.0708 0.5354 0.7399 (multiplicity 6)  7 La 3.11-3.32
Ge 0.1298 0.2595 0.7219 (multiplicity 6)  8 La 3.08-3.32
Ge 0.1998 0.3996 0.2866 (multiplicity 6)  8 La 3.15-3.32, 1 Ge 3.51
P 0.3333 0.6667 0.4898 (multiplicity 2)  6 La 2.81-2.82

## Properties
The value obtained for the spin magnetization is 3.9 μB per formula unit. Its energy of formation is -892 meV/atom. As for the density: 6463 kg/m³. The calculation puts the density of states at the Fermi level at 12.54 states/eV/f.u.

no.,VASP energy (eV/atom)
1,-24.017
2,-27.998
3,-23.612
4,-23.483
5,-22.689
6,-33.999
7,-16.866
8,-17.694
9,-35.100
10,-34.042